{
  "formula": "Ce6PaSe12",
  "functional": "PBE-GGA",
  "state": "relaxed",
  "space_group": "No. 148",
  "dos_ef_per_ev_atom": 2.041,
  "raw_formation_energy_mev_per_atom": -1705.7,
  "energy_ev_per_atom": -6.280,
  "lattice_angstrom": [[8.4304, -0.0288, -0.0345], [-1.3066, 8.3286, -0.0345], [-1.3066, -1.5222, 8.1884]],
  "species": ["Ce", "Ce", "Ce", "Ce", "Ce", "Ce", "Pa", "Se", "Se", "Se", "Se", "Se", "Se", "Se", "Se", "Se", "Se", "Se", "Se"],
  "fractional_positions": [[0.6879, 0.8609, 0.3715], [0.6285, 0.3121, 0.1391], [0.1391, 0.6285, 0.3121], [0.3121, 0.1391, 0.6285], [0.3715, 0.6879, 0.8609], [0.8609, 0.3715, 0.6879], [0.0000, 0.0000, 0.0000], [0.8227, 0.5713, 0.4197], [0.4197, 0.8227, 0.5713], [0.5713, 0.4197, 0.8227], [0.1773, 0.4287, 0.5803], [0.5803, 0.1773, 0.4287], [0.4287, 0.5803, 0.1773], [0.0684, 0.9635, 0.3228], [0.0365, 0.6772, 0.9316], [0.6772, 0.9316, 0.0365], [0.9316, 0.0365, 0.6772], [0.9635, 0.3228, 0.0684], [0.3228, 0.0684, 0.9635]]
}


{
  "formula": "GdICl",
  "functional": "PBE-GGA",
  "state": "relaxed",
  "space_group": "No. 107",
  "dos_ef_per_ev_atom": 1.349,
  "relative_energy_mev_per_atom": 76,
  "raw_formation_energy_mev_per_atom": -1523.2,
  "energy_ev_per_atom": -7.349,
  "lattice_angstrom": [[-2.7464, 0.9408, 2.2568], [-2.4315, -1.4072, -2.3724], [3.0973, -6.2318, 3.3716]],
  "species": ["I", "Gd", "Cl"],
  "fractional_positions": [[0.0439, 0.0439, 0.0878], [0.6766, 0.6766, 0.3532], [0.2795, 0.2795, 0.5590]]
}